Entry 1:
! Tb4Al12Ga | the Alexandria database | PBE | relaxed; values from VASP
&SYSTEM
  ibrav = 0, nat = 17, ntyp = 3
/
ATOMIC_SPECIES
Tb 158.93 Tb.upf
Al 26.98 Al.upf
Ga 69.72 Ga.upf
CELL_PARAMETERS angstrom
7.5834 0.0000 0.0000
-2.5278 7.1497 0.0000
-2.5278 -3.5748 6.1918
ATOMIC_POSITIONS crystal
Tb 0.0000 0.0000 0.5000
Tb 0.5000 0.0000 0.0000
Tb 0.5000 0.5000 0.5000
Tb 0.0000 0.5000 0.0000
Al 0.0000 0.3076 0.3076
Al 0.0000 0.6924 0.6924
Al 0.6924 0.6924 0.0000
Al 0.3076 0.3076 0.0000
Al 0.3076 0.0000 0.3076
Al 0.6924 0.0000 0.6924
Al 0.5000 0.2500 0.7500
Al 0.5000 0.7500 0.2500
Al 0.7500 0.2500 0.5000
Al 0.2500 0.7500 0.5000
Al 0.7500 0.5000 0.2500
Al 0.2500 0.5000 0.7500
Ga 0.0000 0.0000 0.0000
! Magnetization in μB/cell: 0.0
! ΔH_f (0 K) in meV per atom: -366
! N(E_F) in states/eV per atom: 0.38
! Space-group type: No. 229


Entry 2:
! CaCe3Bi3 | the Alexandria database | PBE | relaxed; values from VASP
&SYSTEM
  ibrav = 0, nat = 14, ntyp = 3
/
ATOMIC_SPECIES
Ca 40.08 Ca.upf
Ce 140.12 Ce.upf
Bi 208.98 Bi.upf
CELL_PARAMETERS angstrom
7.9957 0.0000 0.0000
3.9979 6.9245 0.0000
3.9979 2.3082 8.5539
ATOMIC_POSITIONS crystal
Ca 0.3340 0.3340 0.9981
Ca 0.6660 0.6660 0.0019
Ce 0.4930 0.7448 0.5927
Ce 0.7448 0.1694 0.5927
Ce 0.1694 0.4930 0.5927
Ce 0.8306 0.5070 0.4073
Ce 0.2552 0.8306 0.4073
Ce 0.5070 0.2552 0.4073
Bi 0.2087 0.6355 0.2053
Bi 0.9506 0.2087 0.2053
Bi 0.6355 0.9506 0.2053
Bi 0.3645 0.0494 0.7947
Bi 0.0494 0.7913 0.7947
Bi 0.7913 0.3645 0.7947
! Magnetization in μB/cell: 3.9
! ΔH_f (0 K) in meV per atom: -379
! N(E_F) in states/eV per atom: 1.65
! Space-group type: No. 148


Entry 3:
! AlV | the Alexandria database | PBE | relaxed; values from VASP
&SYSTEM
  ibrav = 0, nat = 16, ntyp = 2
/
ATOMIC_SPECIES
Al 26.98 Al.upf
V 50.94 V.upf
CELL_PARAMETERS angstrom
7.5809 0.0000 0.0000
0.0000 7.5809 0.0000
0.0000 0.0000 4.3800
ATOMIC_POSITIONS crystal
Al 0.9474 0.6712 0.5000
Al 0.0526 0.3288 0.5000
Al 0.3288 0.9474 0.5000
Al 0.6712 0.0526 0.5000
Al 0.8883 0.2236 0.0000
Al 0.1117 0.7764 0.0000
Al 0.7764 0.8883 0.0000
Al 0.2236 0.1117 0.0000
V 0.7034 0.3878 0.5000
V 0.2966 0.6122 0.5000
V 0.6122 0.7034 0.5000
V 0.3878 0.2966 0.5000
V 0.7746 0.5506 0.0000
V 0.2254 0.4494 0.0000
V 0.4494 0.7746 0.0000
V 0.5506 0.2254 0.0000
! Magnetization in μB/cell: 0.0
! ΔH_f (0 K) in meV per atom: 116
! N(E_F) in states/eV per atom: 1.10
! Space-group type: No. 83


Short version: E = -4.275, -4.871, -6.314 eV per atom, in the order given.